This record from the Alexandria database describes a relaxed RbVZnOs2 crystal. The functional is PBE.

It has space group P4/mmm (No. 123), with a = 4.780 Å, b = 4.780 Å, c = 4.553 Å, α = 90.00°, β = 90.00° and γ = 90.00°. Symmetry generates all atoms from Rb at (0.000, 0.000, 0.000), V at (0.000, 0.000, 0.500), Zn at (0.500, 0.500, 0.500) and Os at (0.000, 0.500, 0.000).

The formation energy from the elements comes out at 78.49 kcal/mol of atoms.

=====

This record from the Alexandria database describes a relaxed Rb2OsW crystal. The functional is PBE.

It has space group Fm-3m (No. 225), with a = 8.201 Å, b = 8.201 Å, c = 8.201 Å, α = 90.00°, β = 90.00° and γ = 90.00°. Symmetry generates all atoms from Rb at (0.250, 0.250, 0.250), Os at (0.000, 0.000, 0.000) and W at (0.000, 0.000, 0.500).

For the excess energy over the best structure of this formula in the dataset, the calculation gives 1176 meV per atom. The formation energy from the elements comes out at 67.72 kcal/mol of atoms.

=====

This record from the Alexandria database describes a relaxed Rb3OsW crystal. The functional is PBE.

It has space group Pm-3m (No. 221), with a = 6.395 Å, b = 6.395 Å, c = 6.395 Å, α = 90.00°, β = 90.00° and γ = 90.00°. Symmetry generates all atoms from Rb at (0.000, 0.000, 0.500), Os at (0.000, 0.000, 0.000) and W at (0.500, 0.500, 0.500).

For the excess energy over the best structure of this formula in the dataset, the calculation gives 0 meV per atom. The formation energy from the elements comes out at 54.74 kcal/mol of atoms.

=====

This record from the Alexandria database describes a relaxed RbOs3W crystal. The functional is PBE.

It has space group Pm-3m (No. 221), with a = 4.868 Å, b = 4.868 Å, c = 4.868 Å, α = 90.00°, β = 90.00° and γ = 90.00°. Symmetry generates all atoms from Rb at (0.000, 0.000, 0.000), Os at (0.000, 0.500, 0.500) and W at (0.500, 0.500, 0.500).

For the excess energy over the best structure of this formula in the dataset, the calculation gives 0 meV per atom. The formation energy from the elements comes out at 49.33 kcal/mol of atoms.

=====

This record from the Alexandria database describes a relaxed RbOs3W crystal. The functional is PBE.

It has space group Pm-3m (No. 221), with a = 4.608 Å, b = 4.608 Å, c = 4.608 Å, α = 90.00°, β = 90.00° and γ = 90.00°. Symmetry generates all atoms from Rb at (0.000, 0.000, 0.000), Os at (0.000, 0.000, 0.500) and W at (0.500, 0.500, 0.500).

For the excess energy over the best structure of this formula in the dataset, the calculation gives 2156 meV per atom. The formation energy from the elements comes out at 99.04 kcal/mol of atoms.

=====

This record from the Alexandria database describes a relaxed Rb2OsW crystal. The functional is PBE.

It has space group I-42d (No. 122), with a = 13.081 Å, b = 13.081 Å, c = 4.723 Å, α = 90.00°, β = 90.00° and γ = 90.00°. Symmetry generates all atoms from Rb at (0.075, 0.750, 0.125), Os at (0.000, 0.000, 0.000) and W at (0.000, 0.000, 0.500).

For the excess energy over the best structure of this formula in the dataset, the calculation gives 0 meV per atom. The formation energy from the elements comes out at 40.59 kcal/mol of atoms.

=====

Number 1: N(E_F) 7.5 states/eV per cell. Number 2: N(E_F) 31.1 states/eV per cell. Number 3: N(E_F) 0.2 states/eV per cell. Number 4: N(E_F) 9.3 states/eV per cell. Number 5: N(E_F) 12.4 states/eV per cell. Number 6: N(E_F) 26.2 states/eV per cell.